First-principles (GGA+U) data for crystalline CsAcCr2O8 at its relaxed geometry, as listed in the Alexandria database.

- mass density (g cm⁻³) = 3.7
- DFT total energy (eV/atom) = -6.8821

abc: 5.665 5.665 9.188
angles: 86.94 86.94 64.54
Sites, in units of the cell vectors:
1 Cs 0.000 0.000 0.500
2 Ac 0.000 0.000 0.000
3 Cr 0.622 0.622 0.219
4 Cr 0.378 0.378 0.781
5 O 0.704 0.247 0.799
6 O 0.749 0.749 0.085
7 O 0.686 0.686 0.379
8 O 0.314 0.314 0.621
9 O 0.251 0.251 0.915
10 O 0.247 0.704 0.799
11 O 0.753 0.296 0.201
12 O 0.296 0.753 0.201